1.
VASP calculation (PBE-GGA) on a relaxed Ag3BPt3Au2 crystal.

Calculated values
The calculation puts the total magnetization at 0.000 μB/cell. The electronic total energy comes out at -4.471 eV per atom.

Lattice parameters (Å, degrees): 7.6039 7.6039 2.8968 90.00 90.00 120.00
Last column: nearest neighbours and their distance in Å.
Space group P-62m (No. 189)
Unique sites:
Ag 0.0000 0.3873 0.0000 x3  4 Au 2.77, 2 Ag 2.90, 4 Pt 2.94, 1 B 2.95
B 0.0000 0.0000 0.0000 x1  6 Pt 2.23
Pt 0.0000 0.7772 0.5000 x3  2 B 2.23
Au 0.3333 0.6667 0.5000 x2  6 Ag 2.77, 2 Au 2.90, 3 Pt 3.04



2.
VASP calculation (PBE-GGA) on a relaxed PrNd3Th2N6 crystal.

Calculated values
The calculation puts the total magnetization at 0.000 μB/cell. The formation energy from raw total energies is -1.474 eV/atom.

Lattice parameters (Å, degrees): 15.9393 3.6698 7.3223 90.00 103.17 90.00
Last column: nearest neighbours and their distance in Å.
Space group C2/m (No. 12)
Unique sites:
Pr 0.0000 0.0000 0.0000 x2  6 N 2.61
Nd 0.0000 0.0000 0.5000 x2  6 N 2.58-2.64
Nd 0.1654 0.5000 0.8350 x4  6 N 2.59-2.66
Th 0.1657 0.5000 0.3306 x4  6 N 2.49-2.55
N 0.0052 0.5000 0.2556 x4  1 Th 2.49, 3 Nd 2.58-2.65, 2 Pr 2.61
N 0.1680 0.0000 0.0947 x4  2 Th 2.53, 3 Nd 2.59-2.64, 1 Pr 2.61
N 0.1700 0.0000 0.5742 x4  3 Th 2.55, 3 Nd 2.64-2.66